[1]
ScNbHg2Au | PBE-GGA | relaxed

Cell: 5.171 4.896 5.171 Å, 90.00 90.00 90.00°
Element x y z (fractional)
1 Sc 0.000 0.000 0.000
2 Nb 0.500 0.500 0.500
3 Au 0.000 0.500 0.000
4 Hg 0.000 0.000 0.500
5 Hg 0.500 0.000 0.000

Output
As for the calculated density: 9.34 g/cm³. For the formation energy from the elements, the calculation gives 1096 meV/atom. The value obtained for the calculated total energy is -0.109 Ha/atom. The calculation puts the density of states at the Fermi level at 1.22 states/eV per atom.

[2]
Sr2NbHgAu | PBE-GGA | relaxed

Cell: 5.999 5.026 5.999 Å, 90.00 90.00 90.00°
Element x y z (fractional)
1 Sr 0.000 0.000 0.500
2 Sr 0.500 0.000 0.000
3 Nb 0.000 0.000 0.000
4 Au 0.000 0.500 0.000
5 Hg 0.500 0.500 0.500

Output
As for the calculated density: 6.11 g/cm³. For the formation energy from the elements, the calculation gives 544 meV/atom. The value obtained for the calculated total energy is -0.105 Ha/atom. The calculation puts the density of states at the Fermi level at 1.04 states/eV per atom.

[3]
YNbHgAu2 | PBE-GGA | relaxed

Cell: 5.055 5.302 5.055 Å, 90.00 90.00 90.00°
Element x y z (fractional)
1 Y 0.500 0.500 0.500
2 Nb 0.000 0.000 0.000
3 Au 0.000 0.000 0.500
4 Au 0.500 0.000 0.000
5 Hg 0.000 0.500 0.000

Output
As for the calculated density: 9.51 g/cm³. For the formation energy from the elements, the calculation gives 419 meV/atom. The value obtained for the calculated total energy is -0.157 Ha/atom. The calculation puts the density of states at the Fermi level at 1.25 states/eV per atom.

[4]
Zr2NbHgAu | PBE-GGA | relaxed

Cell: 5.035 5.284 5.035 Å, 90.00 90.00 90.00°
Element x y z (fractional)
1 Nb 0.000 0.000 0.000
2 Au 0.500 0.500 0.500
3 Hg 0.000 0.500 0.000
4 Zr 0.000 0.000 0.500
5 Zr 0.500 0.000 0.000

Output
As for the calculated density: 8.34 g/cm³. For the formation energy from the elements, the calculation gives 850 meV/atom. The value obtained for the calculated total energy is -0.195 Ha/atom. The calculation puts the density of states at the Fermi level at 0.83 states/eV per atom.

[5]
Nd6HgAu5 | PBE-GGA | relaxed

Cell: 5.287 7.448 9.167 Å, 66.03 73.26 90.00°
Element x y z (fractional)
1 Au 0.659 0.159 0.683
2 Au 0.332 0.332 0.335
3 Au 0.000 0.500 0.000
4 Au 0.668 0.668 0.665
5 Au 0.341 0.841 0.317
6 Nd 0.830 0.577 0.339
7 Nd 0.830 0.084 0.339
8 Nd 0.500 0.742 0.000
9 Nd 0.500 0.258 0.000
10 Nd 0.170 0.916 0.661
11 Nd 0.170 0.423 0.661
12 Hg 0.000 0.000 0.000

Output
As for the calculated density: 10.88 g/cm³. For the formation energy from the elements, the calculation gives -713 meV/atom. The value obtained for the calculated total energy is -0.165 Ha/atom. The calculation puts the density of states at the Fermi level at 0.77 states/eV per atom.

[6]
Nd3HgAu | PBE-GGA | relaxed

Cell: 4.027 9.424 9.426 Å, 64.45 90.00 90.00°
Element x y z (fractional)
1 Nd 0.864 0.388 0.830
2 Nd 0.864 0.000 0.663
3 Nd 0.863 0.610 0.053
4 Nd 0.364 0.039 0.091
5 Nd 0.863 0.778 0.440
6 Nd 0.363 0.350 0.402
7 Hg 0.363 0.694 0.746
8 Hg 0.863 0.194 0.247
9 Au 0.362 0.694 0.246
10 Au 0.364 0.194 0.747

Output
As for the calculated density: 8.54 g/cm³. For the formation energy from the elements, the calculation gives -329 meV/atom. The value obtained for the calculated total energy is -0.144 Ha/atom. The calculation puts the density of states at the Fermi level at 0.93 states/eV per atom.

[7]
Nd6Hg2Au | PBE-GGA | relaxed

Cell: 6.434 8.322 10.580 Å, 90.00 89.68 90.00°
Element x y z (fractional)
1 Nd 0.854 0.949 0.236
2 Nd 0.852 0.653 0.549
3 Nd 0.873 0.710 0.941
4 Nd 0.627 0.210 0.559
5 Nd 0.648 0.153 0.951
6 Nd 0.646 0.449 0.264
7 Nd 0.146 0.051 0.764
8 Nd 0.148 0.347 0.451
9 Nd 0.127 0.290 0.059
10 Nd 0.373 0.790 0.441
11 Nd 0.352 0.847 0.049
12 Nd 0.354 0.551 0.736
13 Hg 0.908 0.389 0.769
14 Hg 0.592 0.889 0.731
15 Hg 0.408 0.111 0.269
16 Hg 0.092 0.611 0.231
17 Au 0.500 0.500 0.000
18 Au 0.000 0.000 0.500

Output
As for the calculated density: 8.58 g/cm³. For the formation energy from the elements, the calculation gives -288 meV/atom. The value obtained for the calculated total energy is -0.143 Ha/atom. The calculation puts the density of states at the Fermi level at 1.30 states/eV per atom.

[8]
Nd2HgAu3 | PBE-GGA | relaxed

Cell: 4.109 4.019 9.778 Å, 101.86 102.13 90.00°
Element x y z (fractional)
1 Nd 0.130 0.130 0.261
2 Nd 0.859 0.359 0.719
3 Hg 0.453 0.953 0.906
4 Au 0.702 0.702 0.405
5 Au 0.555 0.555 0.111
6 Au 0.299 0.799 0.599

Output
As for the calculated density: 11.62 g/cm³. For the formation energy from the elements, the calculation gives -617 meV/atom. The value obtained for the calculated total energy is -0.143 Ha/atom. The calculation puts the density of states at the Fermi level at 0.44 states/eV per atom.

[9]
NdHg2Au9 | PBE-GGA | relaxed

Cell: 5.631 5.631 9.787 Å, 73.28 73.28 60.00°
Element x y z (fractional)
1 Nd 0.000 0.000 0.000
2 Hg 0.862 0.862 0.415
3 Hg 0.138 0.138 0.585
4 Au 0.667 0.667 0.999
5 Au 0.333 0.333 0.001
6 Au 0.500 0.500 0.500
7 Au 0.414 0.414 0.253
8 Au 0.919 0.414 0.253
9 Au 0.414 0.919 0.253
10 Au 0.586 0.586 0.747
11 Au 0.586 0.081 0.747
12 Au 0.081 0.586 0.747

Output
As for the calculated density: 15.18 g/cm³. For the formation energy from the elements, the calculation gives -173 meV/atom. The value obtained for the calculated total energy is -0.113 Ha/atom. The calculation puts the density of states at the Fermi level at 0.65 states/eV per atom.

[10]
Nd12Hg6Au | PBE-GGA | relaxed

Cell: 8.287 8.287 8.287 Å, 91.18 91.18 91.18°
Element x y z (fractional)
1 Nd 0.809 0.539 0.433
2 Nd 0.433 0.809 0.539
3 Nd 0.539 0.433 0.809
4 Nd 0.191 0.461 0.567
5 Nd 0.567 0.191 0.461
6 Nd 0.461 0.567 0.191
7 Nd 0.052 0.103 0.359
8 Nd 0.897 0.641 0.948
9 Nd 0.641 0.948 0.897
10 Nd 0.948 0.897 0.641
11 Nd 0.103 0.359 0.052
12 Nd 0.359 0.052 0.103
13 Hg 0.722 0.879 0.278
14 Hg 0.722 0.278 0.121
15 Hg 0.121 0.722 0.278
16 Hg 0.278 0.121 0.722
17 Hg 0.278 0.722 0.879
18 Hg 0.879 0.278 0.722
19 Au 0.000 0.000 0.000

Output
As for the calculated density: 9.14 g/cm³. For the formation energy from the elements, the calculation gives -240 meV/atom. The value obtained for the calculated total energy is -0.129 Ha/atom. The calculation puts the density of states at the Fermi level at 1.11 states/eV per atom.

[11]
Nd11Hg9Au4 | PBE-GGA | relaxed

Cell: 3.821 13.593 13.593 Å, 112.74 90.00 90.00°
Element x y z (fractional)
1 Nd 0.000 0.587 0.932
2 Nd 0.000 0.413 0.068
3 Nd 0.000 0.932 0.587
4 Nd 0.000 0.068 0.413
5 Nd 0.000 0.634 0.366
6 Nd 0.000 0.366 0.634
7 Nd 0.000 0.832 0.168
8 Nd 0.000 0.168 0.832
9 Nd 0.000 0.000 0.000
10 Nd 0.000 0.709 0.709
11 Nd 0.000 0.291 0.291
12 Hg 0.500 0.631 0.155
13 Hg 0.500 0.369 0.845
14 Hg 0.500 0.155 0.631
15 Hg 0.500 0.845 0.369
16 Hg 0.500 0.789 0.938
17 Hg 0.500 0.211 0.062
18 Hg 0.500 0.938 0.789
19 Hg 0.500 0.062 0.211
20 Hg 0.500 0.500 0.500
21 Au 0.500 0.552 0.749
22 Au 0.500 0.448 0.251
23 Au 0.500 0.749 0.552
24 Au 0.500 0.251 0.448

Output
As for the calculated density: 10.66 g/cm³. For the formation energy from the elements, the calculation gives -573 meV/atom. The value obtained for the calculated total energy is -0.126 Ha/atom. The calculation puts the density of states at the Fermi level at 0.88 states/eV per atom.

[12]
NdHg4Au | PBE-GGA | relaxed

Cell: 5.070 7.135 8.703 Å, 90.00 106.94 90.00°
Element x y z (fractional)
1 Nd 0.827 0.949 0.654
2 Nd 0.173 0.449 0.346
3 Hg 0.992 0.251 0.984
4 Hg 0.008 0.751 0.016
5 Hg 0.468 0.986 0.935
6 Hg 0.532 0.486 0.065
7 Hg 0.807 0.413 0.614
8 Hg 0.193 0.913 0.386
9 Hg 0.642 0.130 0.283
10 Hg 0.358 0.630 0.717
11 Au 0.678 0.705 0.355
12 Au 0.322 0.205 0.645

Output
As for the calculated density: 12.61 g/cm³. For the formation energy from the elements, the calculation gives -291 meV/atom. The value obtained for the calculated total energy is -0.067 Ha/atom. The calculation puts the density of states at the Fermi level at 0.50 states/eV per atom.

[13]
Nd3HgAu2 | PBE-GGA | relaxed

Cell: 3.764 3.764 11.223 Å, 90.00 90.00 90.00°
Element x y z (fractional)
1 Nd 0.000 0.000 0.000
2 Nd 0.000 0.000 0.675
3 Nd 0.000 0.000 0.325
4 Hg 0.500 0.500 0.500
5 Au 0.500 0.500 0.835
6 Au 0.500 0.500 0.165

Output
As for the calculated density: 10.73 g/cm³. For the formation energy from the elements, the calculation gives -667 meV/atom. The value obtained for the calculated total energy is -0.154 Ha/atom. The calculation puts the density of states at the Fermi level at 0.82 states/eV per atom.

[14]
NdHg2Au2 | PBE-GGA | relaxed

Cell: 5.060 5.060 5.919 Å, 64.69 64.69 59.99°
Element x y z (fractional)
1 Nd 0.000 0.500 0.000
2 Hg 0.218 0.718 0.346
3 Hg 0.782 0.282 0.654
4 Au 0.589 0.089 0.233
5 Au 0.411 0.911 0.767

Output
As for the calculated density: 13.67 g/cm³. For the formation energy from the elements, the calculation gives -423 meV/atom. The value obtained for the calculated total energy is -0.103 Ha/atom. The calculation puts the density of states at the Fermi level at 0.39 states/eV per atom.

[15]
Nd6Hg5Au | PBE-GGA | relaxed

Cell: 5.382 7.674 9.342 Å, 114.25 106.74 90.00°
Element x y z (fractional)
1 Au 0.000 0.000 0.000
2 Nd 0.837 0.592 0.674
3 Nd 0.837 0.082 0.674
4 Nd 0.500 0.758 0.000
5 Nd 0.500 0.242 0.000
6 Nd 0.163 0.918 0.326
7 Nd 0.163 0.408 0.326
8 Hg 0.674 0.174 0.349
9 Hg 0.333 0.333 0.666
10 Hg 0.000 0.500 0.000
11 Hg 0.667 0.667 0.334
12 Hg 0.326 0.826 0.651

Output
As for the calculated density: 10.28 g/cm³. For the formation energy from the elements, the calculation gives -516 meV/atom. The value obtained for the calculated total energy is -0.121 Ha/atom. The calculation puts the density of states at the Fermi level at 1.12 states/eV per atom.

[16]
NdHgAu2 | PBE-GGA | relaxed

Cell: 5.050 5.050 5.050 Å, 60.00 60.00 60.00°
Element x y z (fractional)
1 Nd 0.250 0.250 0.250
2 Au 0.500 0.500 0.500
3 Au 0.000 0.000 0.000
4 Hg 0.750 0.750 0.750

Output
As for the calculated density: 13.47 g/cm³. For the formation energy from the elements, the calculation gives -584 meV/atom. The value obtained for the calculated total energy is -0.128 Ha/atom. The calculation puts the density of states at the Fermi level at 0.72 states/eV per atom.

[17]
NdHg4Au | PBE-GGA | relaxed

Cell: 4.520 9.129 9.815 Å, 90.00 133.82 90.00°
Element x y z (fractional)
1 Nd 0.966 0.750 0.645
2 Nd 0.034 0.250 0.355
3 Hg 0.545 0.008 0.697
4 Hg 0.455 0.508 0.303
5 Hg 0.455 0.992 0.303
6 Hg 0.545 0.492 0.697
7 Hg 0.037 0.250 0.691
8 Hg 0.963 0.750 0.309
9 Hg 0.029 0.250 0.018
10 Hg 0.971 0.750 0.982
11 Au 0.500 0.500 0.000
12 Au 0.500 0.000 0.000

Output
As for the calculated density: 12.99 g/cm³. For the formation energy from the elements, the calculation gives -244 meV/atom. The value obtained for the calculated total energy is -0.066 Ha/atom. The calculation puts the density of states at the Fermi level at 0.47 states/eV per atom.

[18]
Nd5Hg4Au | PBE-GGA | relaxed

Cell: 3.811 3.811 19.091 Å, 90.00 90.00 90.00°
Element x y z (fractional)
1 Nd 0.500 0.500 0.093
2 Nd 0.500 0.500 0.297
3 Nd 0.500 0.500 0.500
4 Nd 0.500 0.500 0.703
5 Nd 0.500 0.500 0.907
6 Hg 0.000 0.000 0.198
7 Hg 0.000 0.000 0.398
8 Hg 0.000 0.000 0.602
9 Hg 0.000 0.000 0.802
10 Au 0.000 0.000 0.000

Output
As for the calculated density: 10.31 g/cm³. For the formation energy from the elements, the calculation gives -530 meV/atom. The value obtained for the calculated total energy is -0.124 Ha/atom. The calculation puts the density of states at the Fermi level at 1.03 states/eV per atom.

[19]
NdHgAu4 | PBE-GGA | relaxed

Cell: 4.796 4.796 6.637 Å, 90.00 90.00 120.00°
Element x y z (fractional)
1 Nd 0.000 0.000 0.000
2 Hg 0.000 0.000 0.500
3 Au 0.333 0.667 0.259
4 Au 0.333 0.667 0.741
5 Au 0.667 0.333 0.259
6 Au 0.667 0.333 0.741

Output
As for the calculated density: 14.23 g/cm³. For the formation energy from the elements, the calculation gives -416 meV/atom. The value obtained for the calculated total energy is -0.127 Ha/atom. The calculation puts the density of states at the Fermi level at 0.37 states/eV per atom.

[20]
Nd6Hg2Au | PBE-GGA | relaxed

Cell: 3.911 8.936 8.936 Å, 120.00 90.00 90.00°
Element x y z (fractional)
1 Nd 0.500 0.600 0.000
2 Nd 0.500 0.400 0.400
3 Nd 0.500 0.000 0.600
4 Nd 0.000 0.259 0.000
5 Nd 0.000 0.741 0.741
6 Nd 0.000 0.000 0.259
7 Hg 0.000 0.333 0.667
8 Hg 0.000 0.667 0.333
9 Au 0.500 0.000 0.000

Output
As for the calculated density: 8.99 g/cm³. For the formation energy from the elements, the calculation gives -369 meV/atom. The value obtained for the calculated total energy is -0.146 Ha/atom. The calculation puts the density of states at the Fermi level at 1.05 states/eV per atom.

[21]
Nd4Hg5Au2 | PBE-GGA | relaxed

Cell: 3.755 7.865 9.994 Å, 94.83 90.00 90.00°
Element x y z (fractional)
1 Nd 0.500 0.756 0.566
2 Nd 0.500 0.182 0.869
3 Nd 0.500 0.244 0.434
4 Nd 0.500 0.818 0.131
5 Hg 0.000 0.546 0.318
6 Hg 0.000 0.170 0.145
7 Hg 0.000 0.500 0.000
8 Hg 0.000 0.830 0.855
9 Hg 0.000 0.454 0.682
10 Au 0.000 0.072 0.636
11 Au 0.000 0.928 0.364

Output
As for the calculated density: 11.14 g/cm³. For the formation energy from the elements, the calculation gives -523 meV/atom. The value obtained for the calculated total energy is -0.110 Ha/atom. The calculation puts the density of states at the Fermi level at 0.88 states/eV per atom.

[22]
Nd2HgAu3 | PBE-GGA | relaxed

Cell: 6.004 6.004 9.090 Å, 103.25 103.25 107.83°
Element x y z (fractional)
1 Nd 0.250 0.750 0.500
2 Nd 0.754 0.754 0.000
3 Nd 0.750 0.250 0.500
4 Nd 0.246 0.246 0.000
5 Hg 0.667 0.667 0.333
6 Hg 0.333 0.333 0.667
7 Au 0.332 0.834 0.166
8 Au 0.166 0.668 0.834
9 Au 0.668 0.166 0.834
10 Au 0.834 0.332 0.166
11 Au 0.166 0.166 0.331
12 Au 0.834 0.834 0.669

Output
As for the calculated density: 12.48 g/cm³. For the formation energy from the elements, the calculation gives -675 meV/atom. The value obtained for the calculated total energy is -0.145 Ha/atom. The calculation puts the density of states at the Fermi level at 0.75 states/eV per atom.

| no. | total moment (μB/f.u.) |
| --- | --- |
| 1 | 0.0 |
| 2 | 0.0 |
| 3 | 0.0 |
| 4 | 0.0 |
| 5 | 0.0 |
| 6 | 0.0 |
| 7 | 0.0 |
| 8 | 0.0 |
| 9 | 0.0 |
| 10 | 0.0 |
| 11 | 0.5 |
| 12 | 0.0 |
| 13 | 0.0 |
| 14 | 0.0 |
| 15 | 1.8 |
| 16 | 0.0 |
| 17 | 0.0 |
| 18 | 1.2 |
| 19 | 0.0 |
| 20 | 0.0 |
| 21 | 0.0 |
| 22 | 0.0 |